The following is a GGA-PBE calculation of an optimized crystal structure of SmTmB12, from Alexandria via LeMat-Bulk.

Output
Energy relative to the elements: -0.4006 eV/atom

Cell lengths 4.0997, 4.0997, 8.2034 Å; angles 90.00, 90.00, 90.00 degrees
Closest atoms and distances in Å follow each position.
Fractional coordinates of all 14 atoms:
Sm: 0.0000 0.0000 0.0000  24 B 3.01-3.02
Tm: 0.0000 0.0000 0.5000  24 B 3.00-3.01
B: 0.1989 0.5000 0.2518  5 B 1.63-1.75
B: 0.1989 0.5000 0.7482  5 B 1.63-1.75
B: 0.5000 0.1989 0.2518  5 B 1.63-1.75
B: 0.5000 0.1989 0.7482  5 B 1.63-1.75
B: 0.5000 0.5000 0.1001  5 B 1.64-1.75
B: 0.5000 0.5000 0.4013  5 B 1.62-1.74
B: 0.5000 0.5000 0.5987  5 B 1.62-1.74
B: 0.5000 0.5000 0.8999  5 B 1.64-1.75
B: 0.5000 0.8011 0.2518  5 B 1.63-1.75
B: 0.5000 0.8011 0.7482  5 B 1.63-1.75
B: 0.8011 0.5000 0.2518  5 B 1.63-1.75
B: 0.8011 0.5000 0.7482  5 B 1.63-1.75

=====

The following is a GGA-PBE calculation of an optimized crystal structure of Pm2Nd2SmDy, from Alexandria via LeMat-Bulk.

Output
Energy relative to the elements: 0.2462 eV/atom

Cell lengths 6.7560, 18.0020, 3.4312 Å; angles 90.00, 90.00, 90.00 degrees
Closest atoms and distances in Å follow each position.
Fractional coordinates of all 12 atoms:
Pm: 0.2316 0.1484 0.0000  1 Dy 3.23, 4 Nd 3.40-3.52, 2 Pm 3.43, 2 Sm 3.54
Pm: 0.2684 0.6484 0.5000  1 Dy 3.23, 4 Nd 3.40-3.52, 2 Pm 3.43, 2 Sm 3.54
Pm: 0.7316 0.3516 0.5000  1 Dy 3.23, 4 Nd 3.40-3.52, 2 Pm 3.43, 2 Sm 3.54
Pm: 0.7684 0.8516 0.0000  1 Dy 3.23, 4 Nd 3.40-3.52, 2 Pm 3.43, 2 Sm 3.54
Nd: 0.2366 0.3190 0.5000  4 Pm 3.40-3.52, 2 Nd 3.43, 1 Dy 3.63
Nd: 0.2634 0.8190 0.0000  4 Pm 3.40-3.52, 2 Nd 3.43, 1 Dy 3.63
Nd: 0.7366 0.1810 0.0000  4 Pm 3.40-3.52, 2 Nd 3.43, 1 Dy 3.63
Nd: 0.7634 0.6810 0.5000  4 Pm 3.40-3.52, 2 Nd 3.43, 1 Dy 3.63
Sm: 0.0000 0.0000 0.5000  2 Sm 3.43, 4 Pm 3.54, 4 Dy 3.79
Sm: 0.5000 0.5000 0.0000  2 Sm 3.43, 4 Pm 3.54, 4 Dy 3.79
Dy: 0.0000 0.5000 0.5000  2 Pm 3.23, 2 Dy 3.43
Dy: 0.5000 0.0000 0.0000  2 Pm 3.23, 2 Dy 3.43

=====

The following is a GGA-PBE calculation of an optimized crystal structure of NdSm2Tm2, from Alexandria via LeMat-Bulk.

Output
Excess energy over the best structure of this formula in the dataset: 0.6177 eV/atom
Energy relative to the elements: 0.8965 eV/atom

Cell lengths 12.7516, 12.7516, 12.7516 Å; angles 161.59, 161.59, 26.15 degrees
Closest atoms and distances in Å follow each position.
Fractional coordinates of all 5 atoms:
Nd: 0.0000 0.0000 0.0000  2 Sm 3.33
Sm: 0.1339 0.1339 0.0000  1 Nd 3.33, 4 Tm 3.53
Sm: 0.8661 0.8661 0.0000  1 Nd 3.33, 4 Tm 3.53
Tm: 0.2500 0.7500 0.5000  4 Tm 2.89
Tm: 0.7500 0.2500 0.5000  4 Tm 2.89

=====

The following is a GGA-PBE calculation of an optimized crystal structure of Pr2DyErS4, from Alexandria via LeMat-Bulk.

Output
Formation energy from raw total energies: -2.005 eV per atom

Cell lengths 6.8462, 3.9280, 7.0874 Å; angles 90.00, 108.60, 90.00 degrees
Closest atoms and distances in Å follow each position.
Fractional coordinates of all 8 atoms:
Pr: 0.0000 0.0000 0.0000  6 S 2.92
Pr: 0.5000 0.5000 0.0000  6 S 2.91
Dy: 0.0000 0.5000 0.5000  6 S 2.75-2.76
Er: 0.5000 0.0000 0.5000  6 S 2.73-2.74
S: 0.2447 0.0000 0.7291  1 Er 2.74, 2 Dy 2.75, 3 Pr 2.91-2.92
S: 0.2597 0.5000 0.2722  2 Er 2.73, 1 Dy 2.76, 3 Pr 2.91-2.92
S: 0.7403 0.5000 0.7278  2 Er 2.73, 1 Dy 2.76, 3 Pr 2.91-2.92
S: 0.7553 0.0000 0.2709  1 Er 2.74, 2 Dy 2.75, 3 Pr 2.91-2.92

=====

The following is a GGA-PBE calculation of an optimized crystal structure of Sm2YPuN4, from Alexandria via LeMat-Bulk.

Output
Formation energy from raw total energies: -1.475 eV per atom

Cell lengths 6.0871, 3.5331, 6.1002 Å; angles 90.00, 109.30, 90.00 degrees
Closest atoms and distances in Å follow each position.
Fractional coordinates of all 8 atoms:
Sm: 0.0000 0.0000 0.0000  6 N 2.56
Sm: 0.5000 0.5000 0.0000  6 N 2.51-2.52
Y: 0.0000 0.5000 0.5000  6 N 2.46-2.47
Pu: 0.5000 0.0000 0.5000  6 N 2.41-2.43
N: 0.2527 0.0000 0.7377  1 Pu 2.41, 2 Y 2.47, 3 Sm 2.52-2.56
N: 0.2609 0.5000 0.2663  2 Pu 2.43, 1 Y 2.46, 3 Sm 2.51-2.56
N: 0.7391 0.5000 0.7337  2 Pu 2.43, 1 Y 2.46, 3 Sm 2.51-2.56
N: 0.7473 0.0000 0.2623  1 Pu 2.41, 2 Y 2.47, 3 Sm 2.52-2.56

=====

The following is a GGA-PBE calculation of an optimized crystal structure of YMgHgIr, from Alexandria via LeMat-Bulk.

Output
Energy relative to the elements: -0.4115 eV/atom

Cell lengths 4.8688, 4.8688, 4.8688 Å; angles 60.00, 60.00, 60.00 degrees
Closest atoms and distances in Å follow each position.
Fractional coordinates of all 4 atoms:
Y: 0.0000 0.0000 0.0000  4 Hg 2.98, 4 Ir 2.98
Mg: 0.5000 0.5000 0.5000  4 Hg 2.98, 4 Ir 2.98
Hg: 0.7500 0.7500 0.7500  4 Mg 2.98, 4 Y 2.98
Ir: 0.2500 0.2500 0.2500  4 Mg 2.98, 4 Y 2.98